[1]
SmGa4Cu2Ag: relaxed, GGA-PBE.

Cell lengths 4.2387, 4.2387, 27.4507 Å; angles 90.00, 90.00, 120.00 degrees
Last column: nearest neighbours and their distance in Å.
Space group R-3m (No. 166, hexagonal axes)
Asymmetric unit:
1 Sm 0.0000 0.0000 0.0000 [3 per cell]  8 Ga 3.03-3.25
2 Ga 0.0000 0.0000 0.1185 [6 per cell]  3 Cu 2.56, 3 Ag 2.78, 3 Ga 2.86
3 Ga 0.0000 0.0000 0.3982 [6 per cell]  3 Cu 2.55, 1 Ag 2.79
4 Cu 0.0000 0.0000 0.2428 [6 per cell]  6 Ga 2.55-2.56
5 Ag 0.0000 0.0000 0.5000 [3 per cell]  8 Ga 2.78-2.79

Values from the calculation:
- crystal system = trigonal
- E_form (meV per atom) = -235.3



[2]
GaCuAg2Sn: relaxed, GGA-PBE.

Cell lengths 4.8799, 4.8799, 5.3144 Å; angles 90.00, 90.00, 90.00 degrees
Last column: nearest neighbours and their distance in Å.
Space group P4/mmm (No. 123)
Asymmetric unit:
1 Ga 0.0000 0.0000 0.0000 [1 per cell]  4 Ag 2.44, 2 Sn 2.66
2 Cu 0.5000 0.5000 0.5000 [1 per cell]  4 Sn 3.45, 8 Ag 3.61
3 Ag 0.0000 0.5000 0.0000 [2 per cell]  2 Ga 2.44
4 Sn 0.0000 0.0000 0.5000 [1 per cell]  2 Ga 2.66

Values from the calculation:
- crystal system = tetragonal
- E_form (meV per atom) = 685.3



[3]
SrGa4CuAg2: relaxed, GGA-PBE.

Cell lengths 4.4614, 4.4614, 28.2814 Å; angles 90.00, 90.00, 120.00 degrees
Last column: nearest neighbours and their distance in Å.
Space group R-3m (No. 166, hexagonal axes)
Asymmetric unit:
1 Sr 0.0000 0.0000 0.0000 [3 per cell]  6 Ga 3.29
2 Ga 0.0000 0.0000 0.1322 [6 per cell]  3 Cu 2.75, 4 Ag 2.77-2.98, 3 Ga 3.08
3 Ga 0.0000 0.0000 0.4059 [6 per cell]  3 Ag 2.66, 1 Cu 2.66
4 Cu 0.0000 0.0000 0.5000 [3 per cell]  8 Ga 2.66-2.75
5 Ag 0.0000 0.0000 0.2375 [6 per cell]  7 Ga 2.66-2.98

Values from the calculation:
- crystal system = trigonal
- E_form (meV per atom) = -149.6



[4]
Sr2GaCuAg: relaxed, GGA-PBE.

Cell lengths 5.8559, 5.8559, 4.5352 Å; angles 90.00, 90.00, 90.00 degrees
Last column: nearest neighbours and their distance in Å.
Space group P4/mmm (No. 123)
Asymmetric unit:
1 Sr 0.0000 0.5000 0.0000 [2 per cell]  2 Cu 2.93
2 Ga 0.0000 0.0000 0.5000 [1 per cell]  2 Cu 2.27
3 Cu 0.0000 0.0000 0.0000 [1 per cell]  2 Ga 2.27
4 Ag 0.5000 0.5000 0.5000 [1 per cell]  8 Sr 3.70, 4 Ga 4.14

Values from the calculation:
- crystal system = tetragonal
- E_form (meV per atom) = -93.1



[5]
SrGaCuAg2: relaxed, GGA-PBE.

Cell lengths 4.9856, 4.9856, 4.5693 Å; angles 90.00, 90.00, 90.00 degrees
Last column: nearest neighbours and their distance in Å.
Space group P4/mmm (No. 123)
Asymmetric unit:
1 Sr 0.0000 0.0000 0.0000 [1 per cell]  8 Ag 3.38, 4 Ga 3.53
2 Ga 0.5000 0.5000 0.0000 [1 per cell]  2 Cu 2.28
3 Cu 0.5000 0.5000 0.5000 [1 per cell]  2 Ga 2.28, 4 Ag 2.49
4 Ag 0.0000 0.5000 0.5000 [2 per cell]  2 Cu 2.49

Values from the calculation:
- crystal system = tetragonal
- E_form (meV per atom) = -61.6



[6]
Tb2Ga3Cu4Ag: relaxed, GGA-PBE.

Cell lengths 4.0490, 4.0490, 10.8119 Å; angles 90.00, 90.00, 90.00 degrees
Last column: nearest neighbours and their distance in Å.
Space group P-4m2 (No. 115)
Asymmetric unit:
1 Tb 0.0000 0.5000 0.2426 [2 per cell]  8 Cu 3.09-3.31, 6 Ga 3.12-3.44, 2 Ag 3.44
2 Ga 0.0000 0.5000 0.8710 [2 per cell]  5 Cu 2.39-2.46
3 Ga 0.5000 0.5000 0.5000 [1 per cell]  4 Cu 2.59, 4 Ag 2.86
4 Cu 0.0000 0.0000 0.0000 [1 per cell]  4 Ga 2.46
5 Cu 0.0000 0.5000 0.6498 [2 per cell]  3 Ga 2.39-2.59, 2 Ag 2.59
6 Cu 0.5000 0.5000 0.0000 [1 per cell]  4 Ga 2.46
7 Ag 0.0000 0.0000 0.5000 [1 per cell]  4 Cu 2.59, 4 Ga 2.86

Values from the calculation:
- crystal system = tetragonal
- E_form (meV per atom) = -347.0



What did the fifth record say?
SrGaCuAg2: relaxed, GGA-PBE.

Cell lengths 4.9856, 4.9856, 4.5693 Å; angles 90.00, 90.00, 90.00 degrees
Last column: nearest neighbours and their distance in Å.
Space group P4/mmm (No. 123)
Asymmetric unit:
1 Sr 0.0000 0.0000 0.0000 [1 per cell]  8 Ag 3.38, 4 Ga 3.53
2 Ga 0.5000 0.5000 0.0000 [1 per cell]  2 Cu 2.28
3 Cu 0.5000 0.5000 0.5000 [1 per cell]  2 Ga 2.28, 4 Ag 2.49
4 Ag 0.0000 0.5000 0.5000 [2 per cell]  2 Cu 2.49

Values from the calculation:
- crystal system = tetragonal
- E_form (meV per atom) = -61.6



> Among the records above, which one has the highest E_form?

GaCuAg2Sn



> Which of these has the highest E_form?

GaCuAg2Sn



> Which formula does entry 2 have?

GaCuAg2Sn